Compound: La6Pd2SI3
Source: Alexandria via LeMat-Bulk
Functional: PBE
Structure: relaxed

```
data_La6Pd2SI3
_chemical_formula_sum 'La6 Pd2 S1 I3'
_space_group_name_H-M_alt 'P 1'
_space_group_IT_number 1
_cell_length_a 7.4698
_cell_length_b 7.4698
_cell_length_c 8.2845
_cell_angle_alpha 98.64
_cell_angle_beta 98.64
_cell_angle_gamma 119.83
loop_
_space_group_symop_operation_xyz
'x,y,z'
loop_
_atom_site_label
_atom_site_fract_x
_atom_site_fract_y
_atom_site_fract_z
_atom_site_occupancy
La1 0.6004 0.9326 0.8003 1
La2 0.3996 0.0674 0.1997 1
La3 0.7336 0.7336 0.1998 1
Pd1 0.6666 0.3334 0.0000 1
La4 0.2663 0.2663 0.8002 1
I1 0.8346 0.1654 0.5000 1
S1 0.0000 0.0000 0.0000 1
Pd2 0.3334 0.6666 0.0000 1
La5 0.9326 0.6004 0.8003 1
La6 0.0674 0.3996 0.1997 1
I2 0.1654 0.8346 0.5000 1
I3 0.5000 0.5000 0.5000 1
```

Results
M_tot, μB per cell: 0.00
V, A^3/atom: 31.9
E_tot, eV per atom: -5.20
Symmetry: C2/m
Formation energy (no corrections), eV per atom: -1.139


Compound: La4PdSI2
Source: Alexandria via LeMat-Bulk
Functional: PBE
Structure: relaxed

```
data_La4PdSI2
_chemical_formula_sum 'La4 Pd1 S1 I2'
_space_group_name_H-M_alt 'P 1'
_space_group_IT_number 1
_cell_length_a 4.1712
_cell_length_b 7.5623
_cell_length_c 8.3278
_cell_angle_alpha 107.31
_cell_angle_beta 90.00
_cell_angle_gamma 90.00
loop_
_space_group_symop_operation_xyz
'x,y,z'
loop_
_atom_site_label
_atom_site_fract_x
_atom_site_fract_y
_atom_site_fract_z
_atom_site_occupancy
La1 0.5000 0.2309 0.1966 1
La2 0.0000 0.7167 0.2013 1
La3 0.5000 0.7691 0.8034 1
I1 0.0000 0.5000 0.5000 1
I2 0.5000 0.0000 0.5000 1
La4 0.0000 0.2833 0.7987 1
Pd1 0.0000 0.0000 0.0000 1
S1 0.5000 0.5000 0.0000 1
```

Results
M_tot, μB per cell: 0.00
V, A^3/atom: 31.3
E_tot, eV per atom: -5.28
Symmetry: P2/m
Formation energy (no corrections), eV per atom: -1.263


Compound: La8Pd3SI4
Source: Alexandria via LeMat-Bulk
Functional: PBE
Structure: relaxed

```
data_La8Pd3SI4
_chemical_formula_sum 'La8 Pd3 S1 I4'
_space_group_name_H-M_alt 'P 1'
_space_group_IT_number 1
_cell_length_a 8.6002
_cell_length_b 9.4197
_cell_length_c 8.6009
_cell_angle_alpha 117.16
_cell_angle_beta 120.00
_cell_angle_gamma 90.00
loop_
_space_group_symop_operation_xyz
'x,y,z'
loop_
_atom_site_label
_atom_site_fract_x
_atom_site_fract_y
_atom_site_fract_z
_atom_site_occupancy
La1 0.7694 0.2969 0.0275 1
La2 0.2581 0.2969 0.0275 1
I1 0.5000 0.0000 0.5000 1
La3 0.7694 0.2969 0.5387 1
La4 0.2306 0.7031 0.4613 1
La5 0.7419 0.7031 0.9725 1
I2 0.0000 0.0000 0.5000 1
Pd1 0.0000 0.5000 0.5000 1
La6 0.2700 0.3100 0.5400 1
La7 0.2306 0.7031 0.9725 1
La8 0.7300 0.6900 0.4600 1
I3 0.0000 0.0000 0.0000 1
S1 0.0000 0.5000 0.0000 1
Pd2 0.5000 0.5000 0.5000 1
I4 0.5000 0.0000 0.0000 1
Pd3 0.5000 0.5000 0.0000 1
```

Results
M_tot, μB per cell: 0.00
V, A^3/atom: 32.1
E_tot, eV per atom: -5.17
Symmetry: R-3m
Formation energy (no corrections), eV per atom: -1.089


Compound: LaSb2PdI
Source: Alexandria via LeMat-Bulk
Functional: PBE
Structure: relaxed

```
data_LaSb2PdI
_chemical_formula_sum 'La1 Sb2 Pd1 I1'
_space_group_name_H-M_alt 'P 1'
_space_group_IT_number 1
_cell_length_a 6.1325
_cell_length_b 6.1325
_cell_length_c 6.1090
_cell_angle_alpha 90.00
_cell_angle_beta 90.00
_cell_angle_gamma 90.00
loop_
_space_group_symop_operation_xyz
'x,y,z'
loop_
_atom_site_label
_atom_site_fract_x
_atom_site_fract_y
_atom_site_fract_z
_atom_site_occupancy
Pd1 0.5000 0.5000 0.5000 1
Sb1 0.0000 0.5000 0.0000 1
I1 0.0000 0.0000 0.5000 1
La1 0.0000 0.0000 0.0000 1
Sb2 0.5000 0.0000 0.0000 1
```

Results
M_tot, μB per cell: 0.02
Polymorph energy (0 for the lowest one), meV per atom: 897
V, A^3/atom: 45.9
E_tot, eV per atom: -3.42
Symmetry: P4/mmm
Formation energy (no corrections), eV per atom: 0.558


Compound: LaSb2PdI
Source: Alexandria via LeMat-Bulk
Functional: PBE
Structure: relaxed

```
data_LaSb2PdI
_chemical_formula_sum 'La1 Sb2 Pd1 I1'
_space_group_name_H-M_alt 'P 1'
_space_group_IT_number 1
_cell_length_a 5.2542
_cell_length_b 5.2542
_cell_length_c 5.4884
_cell_angle_alpha 90.00
_cell_angle_beta 90.00
_cell_angle_gamma 90.00
loop_
_space_group_symop_operation_xyz
'x,y,z'
loop_
_atom_site_label
_atom_site_fract_x
_atom_site_fract_y
_atom_site_fract_z
_atom_site_occupancy
Sb1 0.0000 0.5000 0.0000 1
Pd1 0.0000 0.0000 0.0000 1
I1 0.0000 0.0000 0.5000 1
Sb2 0.5000 0.0000 0.0000 1
La1 0.5000 0.5000 0.5000 1
```

Results
M_tot, μB per cell: 0.00
Polymorph energy (0 for the lowest one), meV per atom: 0
V, A^3/atom: 30.3
E_tot, eV per atom: -4.32
Symmetry: P4/mmm
Formation energy (no corrections), eV per atom: -0.339


Compound: La6Pd2SeI3
Source: Alexandria via LeMat-Bulk
Functional: PBE
Structure: relaxed

```
data_La6Pd2SeI3
_chemical_formula_sum 'La6 Pd2 Se1 I3'
_space_group_name_H-M_alt 'P 1'
_space_group_IT_number 1
_cell_length_a 7.5846
_cell_length_b 7.5846
_cell_length_c 8.2244
_cell_angle_alpha 98.88
_cell_angle_beta 98.88
_cell_angle_gamma 119.72
loop_
_space_group_symop_operation_xyz
'x,y,z'
loop_
_atom_site_label
_atom_site_fract_x
_atom_site_fract_y
_atom_site_fract_z
_atom_site_occupancy
I1 0.1608 0.8392 0.5000 1
La1 0.4129 0.0689 0.2034 1
I2 0.8392 0.1608 0.5000 1
La2 0.5871 0.9311 0.7966 1
La3 0.7216 0.7216 0.2004 1
I3 0.5000 0.5000 0.5000 1
La4 0.9311 0.5871 0.7966 1
Pd1 0.3324 0.6676 0.0000 1
Se1 0.0000 0.0000 0.0000 1
La5 0.2784 0.2784 0.7996 1
Pd2 0.6676 0.3324 0.0000 1
La6 0.0689 0.4129 0.2034 1
```

Results
M_tot, μB per cell: 0.00
V, A^3/atom: 32.6
E_tot, eV per atom: -5.13
Symmetry: C2/m
Formation energy (no corrections), eV per atom: -1.118


Which value of E_tot does entry 3 give?
-5.17 eV per atom


M_tot of number 5 (LaSb2PdI)?
0.00 μB per cell


What is the M_tot in the sixth record?
0.00 μB per cell